V4Mo2Pd, optimized geometry, DFT PBE-GGA; calculated volume = 18.3 Å³ per atom; space-group type = I4/mmm; E = -54.61 eV for the cell shown; energy relative to the elements = 1.25 eV/atom
1.0
4.537 0.000 0.000
0.000 4.537 0.000
2.268 2.268 6.224
Mo Pd V
2 1 4
direct
0.382 0.382 0.236 Mo
0.618 0.618 0.764 Mo
0.000 0.000 0.000 Pd
0.201 0.201 0.598 V
0.799 0.799 0.402 V
0.000 0.500 0.000 V
0.500 0.000 0.000 V

---

VMoPd2, optimized geometry, DFT PBE-GGA; calculated volume = 16.1 Å³ per atom; space-group type = I-42d; E = -57.23 eV for the cell shown; energy relative to the elements = 0.43 eV/atom; excess energy over the best structure of this formula in the dataset = 2.06 eV per formula unit
1.0
7.042 0.000 0.000
0.000 7.042 0.000
3.521 3.521 2.591
Mo Pd V
2 4 2
direct
0.000 0.000 0.000 Mo
0.750 0.250 0.500 Mo
0.604 0.125 0.250 Pd
0.146 0.625 0.250 Pd
0.375 0.396 0.750 Pd
0.875 0.854 0.750 Pd
0.500 0.500 0.000 V
0.250 0.750 0.500 V

---

V4Mo3Pd, optimized geometry, DFT PBE-GGA; calculated volume = 14.5 Å³ per atom; space-group type = P4/mmm; E = -150.27 eV for the cell shown; energy relative to the elements = -0.12 eV/atom
1.0
-0.063 -4.345 0.051
3.510 0.008 5.045
-7.134 0.161 4.963
Mo Pd V
6 2 8
direct
0.000 0.000 0.000 Mo
0.000 0.000 0.500 Mo
0.500 0.000 0.750 Mo
0.500 0.000 0.250 Mo
0.500 0.500 0.750 Mo
0.500 0.500 0.250 Mo
0.000 0.500 0.000 Pd
0.000 0.500 0.500 Pd
0.500 0.758 0.000 V
0.500 0.758 0.500 V
0.500 0.242 0.000 V
0.500 0.242 0.500 V
0.000 0.758 0.750 V
0.000 0.758 0.250 V
0.000 0.242 0.250 V
0.000 0.242 0.750 V

---

VMoPd6, optimized geometry, DFT PBE-GGA; calculated volume = 16.9 Å³ per atom; space-group type = C2/m; E = -49.84 eV for the cell shown; energy relative to the elements = 0.16 eV/atom; excess energy over the best structure of this formula in the dataset = 1.86 eV per formula unit
1.0
-2.860 -0.985 -3.472
-3.706 -2.240 1.567
-5.278 4.925 0.341
V Mo Pd
1 1 6
direct
0.500 0.500 0.500 V
0.000 0.000 0.000 Mo
0.063 0.555 0.307 Pd
0.555 0.063 0.307 Pd
0.445 0.937 0.693 Pd
0.937 0.445 0.693 Pd
0.355 0.355 0.936 Pd
0.645 0.645 0.064 Pd

---

VMoPd, optimized geometry, DFT PBE-GGA; calculated volume = 14.9 Å³ per atom; space-group type = P-6m2; E = -24.93 eV for the cell shown; energy relative to the elements = 0.07 eV/atom; excess energy over the best structure of this formula in the dataset = 0.67 eV per formula unit
1.0
-1.282 -2.256 -0.140
0.686 -0.117 -4.405
2.963 -1.856 2.768
Mo Pd V
1 1 1
direct
0.667 0.333 0.667 Mo
0.167 0.667 0.333 Pd
0.166 0.000 0.000 V

---

V3MoPd, optimized geometry, DFT PBE-GGA; calculated volume = 14.5 Å³ per atom; space-group type = C2/c; E = -171.67 eV for the cell shown; energy relative to the elements = 0.09 eV/atom; excess energy over the best structure of this formula in the dataset = 0.00 eV per formula unit
1.0
4.687 0.829 0.000
0.868 5.102 0.000
0.000 0.000 12.540
V Mo Pd
12 4 4
direct
0.250 0.250 0.452 V
0.750 0.750 0.548 V
0.250 0.750 0.049 V
0.750 0.250 0.951 V
0.746 0.498 0.146 V
0.254 0.502 0.854 V
0.755 0.501 0.354 V
0.745 0.999 0.354 V
0.245 0.499 0.646 V
0.255 0.001 0.646 V
0.754 0.002 0.146 V
0.246 0.998 0.854 V
0.250 0.250 0.049 Mo
0.750 0.750 0.951 Mo
0.250 0.750 0.451 Mo
0.750 0.250 0.549 Mo
0.251 0.500 0.250 Pd
0.749 0.500 0.750 Pd
0.249 0.000 0.250 Pd
0.751 0.000 0.750 Pd

---

VMoPd, optimized geometry, DFT PBE-GGA; calculated volume = 15.2 Å³ per atom; space-group type = I4mm; E = -24.82 eV for the cell shown; energy relative to the elements = 0.11 eV/atom; excess energy over the best structure of this formula in the dataset = 0.78 eV per formula unit
1.0
-0.792 -0.026 -3.049
3.046 -0.144 -0.790
-1.322 -4.508 2.009
Mo Pd V
1 1 1
direct
0.316 0.316 0.633 Mo
0.005 0.005 0.009 Pd
0.679 0.679 0.358 V

---

VMoPd4, optimized geometry, DFT PBE-GGA; calculated volume = 15.4 Å³ per atom; space-group type = C2/m; E = -81.53 eV for the cell shown; energy relative to the elements = -0.01 eV/atom; excess energy over the best structure of this formula in the dataset = 0.95 eV per formula unit
1.0
5.093 1.387 0.000
1.269 5.106 0.000
0.000 0.000 7.619
V Mo Pd
2 2 8
direct
0.000 0.250 0.750 V
0.000 0.750 0.250 V
0.500 0.250 0.250 Mo
0.500 0.750 0.750 Mo
0.248 0.497 0.932 Pd
0.248 0.497 0.568 Pd
0.752 0.003 0.932 Pd
0.752 0.503 0.432 Pd
0.752 0.003 0.568 Pd
0.248 0.997 0.068 Pd
0.248 0.997 0.432 Pd
0.752 0.503 0.068 Pd